! Th5Tc2Te2, optimized geometry, DFT GGA-PBE; values from VASP
! * Fermi-level density of states: 15.38 states/eV per cell
! * electronic total energy: -138.76 eV/cell
! * calculated volume: 28.93 Å³ per atom
! * formation energy (no corrections): -0.58 eV per atom
! * SG: Cmce
&SYSTEM
  ibrav = 0, nat = 18, ntyp = 3
/
ATOMIC_SPECIES
Th 232.04 Th.upf
Tc 98.00 Tc.upf
Te 127.60 Te.upf
CELL_PARAMETERS angstrom
7.376 0.000 2.677
0.000 8.214 0.000
0.931 0.000 8.933
ATOMIC_POSITIONS crystal
Th 0.000 0.000 0.000
Th 0.500 0.500 0.000
Th 0.461 0.164 0.771
Th 0.768 0.836 0.771
Th 0.268 0.664 0.771
Th 0.961 0.336 0.771
Th 0.539 0.836 0.229
Th 0.232 0.164 0.229
Th 0.732 0.336 0.229
Th 0.039 0.664 0.229
Tc 0.153 0.370 0.000
Tc 0.847 0.630 0.000
Tc 0.347 0.870 0.000
Tc 0.653 0.130 0.000
Te 0.206 0.000 0.587
Te 0.706 0.500 0.587
Te 0.794 0.000 0.413
Te 0.294 0.500 0.413